Entry 1:
Density functional theory data (PBE) for crystalline Pr2SmTmTl2 at its relaxed geometry.

Output
Fermi-level density of states ... 1.0976 states/eV/atom
DFT formation energy ... -0.27 eV per atom

Geometry as extended XYZ:
```
12
Lattice="5.1654 0.0000 0.0000 0.0000 7.0014 0.0000 0.0000 0.0000 10.2388" Properties=species:S:1:pos:R:3 pbc="T T T"
Tl 0.0000 5.5841 1.4976
Tl 2.5827 5.0595 6.3612
Tl 2.5827 1.5588 3.8776
Sm 0.0000 6.7193 4.6551
Pr 0.0000 5.8368 8.3516
Pr 2.5827 0.4154 0.4910
Tm 2.5827 4.7099 3.2095
Pr 0.0000 2.3361 1.8872
Sm 0.0000 3.2186 5.5838
Tl 0.0000 2.0834 8.7413
Tm 2.5827 1.2091 7.0293
Pr 2.5827 3.9161 9.7478
```

***

Entry 2:
Density functional theory data (PBE) for crystalline CePrLuMg at its relaxed geometry.

Output
Fermi-level density of states ... 1.9995 states/eV/atom
DFT formation energy ... 0.08 eV per atom

Geometry as extended XYZ:
```
4
Lattice="5.5459 0.0000 0.0000 2.7729 4.8029 0.0000 2.7729 1.6010 4.5282" Properties=species:S:1:pos:R:3 pbc="T T T"
Mg 0.0000 0.0000 0.0000
Lu 5.5459 3.2019 2.2641
Ce 2.7729 1.6010 1.1320
Pr 8.3188 4.8029 3.3961
```

***

Entry 3:
Density functional theory data (PBE) for crystalline Rb2Y2TiS6 at its relaxed geometry.

Output
E_form (uncorrected) ... -1.682 eV per atom

Geometry as extended XYZ:
```
11
Lattice="6.6929 0.0102 0.0440 -3.2991 5.8233 0.0440 -1.2275 -2.1099 7.8127" Properties=species:S:1:pos:R:3 pbc="T T T"
Rb 4.9791 1.0073 0.0440
S 1.7433 2.9965 5.3884
Y 2.7505 0.8918 3.9503
S 0.7434 4.7863 2.5439
Rb -1.5853 4.8262 0.0440
S 0.4230 0.7271 2.5122
S 1.4229 -1.0627 5.3568
Y -0.5843 2.8318 3.9503
S -1.6271 0.7117 5.3568
Ti -0.6137 -1.0550 3.9063
S 3.7934 3.0119 2.5439
```

***

Uncorrected energy values (in eV/cell) by entry order: -50.2 -16.5 -66.0.
Magnetic moment values (in μB per formula unit) by entry order: 0.00 1.24 0.00.